Entry 1:
Entry from Alexandria: crystalline BaIn2SnSe6 at its relaxed geometry (PBE).

Properties
Uncorrected formation energy, eV per atom: -0.709
V, Å³/f.u.: 349.39
Uncorrected energy, eV/atom: -3.940

a b c (Å): 9.772 9.772 8.310
angles (deg): 110.07 110.07 80.15
Sites, in units of the cell vectors:
Ba 0.174 0.826 0.750
Ba 0.826 0.174 0.250
In 0.249 0.368 0.844
In 0.368 0.249 0.344
In 0.632 0.751 0.656
In 0.751 0.632 0.156
Sn 0.175 0.825 0.250
Sn 0.825 0.175 0.750
Se 0.055 0.160 0.654
Se 0.103 0.620 0.950
Se 0.160 0.055 0.154
Se 0.264 0.448 0.577
Se 0.380 0.897 0.550
Se 0.448 0.264 0.077
Se 0.552 0.736 0.923
Se 0.620 0.103 0.450
Se 0.736 0.552 0.423
Se 0.840 0.945 0.846
Se 0.897 0.380 0.050
Se 0.945 0.840 0.346


Entry 2:
Entry from Alexandria: crystalline Li4ReMo3N8 at its relaxed geometry (PBE).

Properties
Uncorrected formation energy, eV per atom: -0.387
V, Å³/f.u.: 156.56
Uncorrected energy, eV/atom: -7.837

a b c (Å): 6.228 6.228 6.228
angles (deg): 56.40 56.40 56.40
Sites, in units of the cell vectors:
Li 0.000 0.000 0.000
Li 0.000 0.500 0.500
Li 0.500 0.000 0.500
Li 0.500 0.500 0.000
Re 0.500 0.500 0.500
Mo 0.000 0.000 0.500
Mo 0.000 0.500 0.000
Mo 0.500 0.000 0.000
N 0.244 0.244 0.244
N 0.247 0.743 0.743
N 0.257 0.257 0.753
N 0.257 0.753 0.257
N 0.743 0.247 0.743
N 0.743 0.743 0.247
N 0.753 0.257 0.257
N 0.756 0.756 0.756


Entry 3:
Entry from Alexandria: crystalline Na4Ti3PdS8 at its relaxed geometry (PBE).

Properties
Uncorrected formation energy, eV per atom: -1.149
V, Å³/f.u.: 299.90
Uncorrected energy, eV/atom: -5.347

a b c (Å): 7.249 7.249 7.811
angles (deg): 117.65 117.65 59.93
Sites, in units of the cell vectors:
Na 0.000 0.000 0.000
Na 0.000 0.500 0.000
Na 0.500 0.000 0.000
Na 0.500 0.500 0.000
Ti 0.000 0.000 0.500
Ti 0.000 0.500 0.500
Ti 0.500 0.000 0.500
Pd 0.500 0.500 0.500
S 0.229 0.739 0.706
S 0.237 0.237 0.712
S 0.260 0.260 0.293
S 0.261 0.771 0.294
S 0.739 0.229 0.706
S 0.740 0.740 0.707
S 0.763 0.763 0.288
S 0.771 0.261 0.294


Entry 4:
Entry from Alexandria: crystalline Cs2CrSe2 at its relaxed geometry (PBE).

Properties
Uncorrected formation energy, eV per atom: -0.822
V, Å³/f.u.: 188.49
Uncorrected energy, eV/atom: -4.482

a b c (Å): 8.915 8.915 8.915
angles (deg): 129.92 69.58 135.00
Sites, in units of the cell vectors:
Cs 0.147 0.166 0.312
Cs 0.353 0.666 0.019
Cs 0.647 0.334 0.981
Cs 0.853 0.834 0.688
Cr 0.250 0.750 0.500
Cr 0.750 0.250 0.500
Se 0.097 0.666 0.763
Se 0.403 0.166 0.568
Se 0.597 0.834 0.432
Se 0.903 0.334 0.237